# 1
Material: TbLu2Ag
Method: DFT, PBE
State: optimized geometry

Lattice parameters (Å, degrees): 3.5061 3.5061 30.8705 90.00 90.00 120.00
Closest atoms and distances in Å follow each position.
Element x y z (fractional)
Tb  0.0000  0.0000  0.0000  6 Lu 3.50, 6 Tb 3.51
Tb  0.3333  0.6667  0.6667  6 Lu 3.50, 6 Tb 3.51
Tb  0.6667  0.3333  0.3333  6 Lu 3.50, 6 Tb 3.51
Lu  0.0000  0.0000  0.2410  3 Ag 3.06
Lu  0.0000  0.0000  0.7590  3 Ag 3.06
Lu  0.3333  0.6667  0.4257  3 Ag 3.06
Lu  0.3333  0.6667  0.9076  3 Ag 3.06
Lu  0.6667  0.3333  0.0924  3 Ag 3.06
Lu  0.6667  0.3333  0.5743  3 Ag 3.06
Ag  0.0000  0.0000  0.5000  6 Lu 3.06
Ag  0.3333  0.6667  0.1667  6 Lu 3.06
Ag  0.6667  0.3333  0.8333  6 Lu 3.06

Output
Offset from the most stable computed form   122 meV per atom
SG   R-3m
DOS(E_F)   13.89 states/eV/cell

=====

# 2
Material: CeMgPd4
Method: DFT, PBE
State: optimized geometry

Lattice parameters (Å, degrees): 5.3910 5.3910 5.3910 60.00 60.00 60.00
Closest atoms and distances in Å follow each position.
Element x y z (fractional)
Ce  0.0000  0.0000  0.0000  12 Pd 3.16, 4 Mg 3.30
Mg  0.7500  0.7500  0.7500  12 Pd 3.16, 4 Ce 3.30
Pd  0.3757  0.3757  0.3757  6 Pd 2.68-2.71
Pd  0.3757  0.3757  0.8730  6 Pd 2.68-2.71
Pd  0.3757  0.8730  0.3757  6 Pd 2.68-2.71
Pd  0.8730  0.3757  0.3757  6 Pd 2.68-2.71

Output
Offset from the most stable computed form   0 meV per atom
SG   F-43m
DOS(E_F)   5.25 states/eV/cell

=====

# 3
Material: La3Zn7Ni2
Method: DFT, PBE
State: optimized geometry

Lattice parameters (Å, degrees): 9.0535 9.0535 9.0535 35.91 35.91 35.91
Closest atoms and distances in Å follow each position.
Element x y z (fractional)
La  0.0000  0.0000  0.0000  6 Ni 3.22, 12 Zn 3.38
La  0.1535  0.1535  0.1535  12 Zn 3.14-3.42, 3 La 3.29
La  0.8465  0.8465  0.8465  12 Zn 3.14-3.42, 3 La 3.29
Zn  0.0887  0.5686  0.5686  2 Ni 2.48-2.52, 2 Zn 2.68
Zn  0.4314  0.4314  0.9113  2 Ni 2.48-2.52, 2 Zn 2.68
Zn  0.4314  0.9113  0.4314  2 Ni 2.48-2.52, 2 Zn 2.68
Zn  0.5000  0.5000  0.5000  6 Zn 2.79
Zn  0.5686  0.0887  0.5686  2 Ni 2.48-2.52, 2 Zn 2.68
Zn  0.5686  0.5686  0.0887  2 Ni 2.48-2.52, 2 Zn 2.68
Zn  0.9113  0.4314  0.4314  2 Ni 2.48-2.52, 2 Zn 2.68
Ni  0.3302  0.3302  0.3302  6 Zn 2.48-2.52
Ni  0.6698  0.6698  0.6698  6 Zn 2.48-2.52

Output
DFT total energy   -3.25 eV per atom
SG   R-3m
DOS(E_F)   6.28 states/eV/cell

=====

# 4
Material: Mg2TaTc
Method: DFT, PBE
State: optimized geometry

Lattice parameters (Å, degrees): 2.8435 4.4056 5.8304 90.00 101.89 90.00
Closest atoms and distances in Å follow each position.
Element x y z (fractional)
Mg  0.0000  0.0000  0.0000  6 Mg 2.84-3.17, 2 Tc 2.89-3.05, 4 Ta 2.97-3.18
Mg  0.2783  0.5000  0.7443  2 Tc 2.83, 6 Mg 2.84-3.17, 2 Ta 2.87-3.10
Ta  0.6958  0.5000  0.2798  2 Tc 2.61, 2 Ta 2.84, 1 Mg 2.87
Tc  0.5082  0.0000  0.4827  2 Ta 2.61, 3 Mg 2.83-2.89, 2 Tc 2.84

Output
Offset from the most stable computed form   134 meV per atom
SG   Pm
DOS(E_F)   2.28 states/eV/cell

=====

# 5
Material: Ho3MnAg4S8
Method: DFT, PBE
State: optimized geometry

Lattice parameters (Å, degrees): 7.6989 7.6989 9.0073 123.82 123.82 60.39
Closest atoms and distances in Å follow each position.
Element x y z (fractional)
Ho  0.0000  0.0000  0.0000  6 S 2.70-2.75
Ho  0.0000  0.5000  0.5000  6 S 2.71-2.77
Ho  0.5000  0.0000  0.5000  6 S 2.71-2.77
Mn  0.5000  0.5000  0.0000  4 S 2.42
Ag  0.0000  0.0000  0.5000  2 S 2.38
Ag  0.0000  0.5000  0.0000  2 S 2.46
Ag  0.5000  0.0000  0.0000  2 S 2.46
Ag  0.5000  0.5000  0.5000  2 S 2.44
S  0.2328  0.2328  0.6927  1 Ag 2.38
S  0.2610  0.2610  0.2991  1 Ag 2.44, 3 Ho 2.70-2.72
S  0.2652  0.7079  0.1765  1 Mn 2.42, 1 Ag 2.46
S  0.2921  0.7348  0.8235  1 Mn 2.42, 1 Ag 2.46
S  0.7079  0.2652  0.1765  1 Mn 2.42, 1 Ag 2.46
S  0.7348  0.2921  0.8235  1 Mn 2.42, 1 Ag 2.46
S  0.7390  0.7390  0.7009  1 Ag 2.44, 3 Ho 2.70-2.72
S  0.7672  0.7672  0.3073  1 Ag 2.38

Output
SG   C2/m
Formation energy from raw total energies   -1.0295 eV per atom

=====

# 6
Material: KMg2Rh2
Method: DFT, PBE
State: optimized geometry

Lattice parameters (Å, degrees): 8.1994 8.1994 2.8640 90.00 90.00 90.00
Closest atoms and distances in Å follow each position.
Element x y z (fractional)
K  0.0000  0.0000  0.0000  2 K 2.86, 4 Mg 3.19
K  0.5000  0.5000  0.0000  2 K 2.86, 4 Mg 3.19
Mg  0.1354  0.3646  0.0000  6 Rh 2.76-2.85, 2 Mg 2.86
Mg  0.3646  0.8646  0.0000  6 Rh 2.76-2.85, 2 Mg 2.86
Mg  0.6354  0.1354  0.0000  6 Rh 2.76-2.85, 2 Mg 2.86
Mg  0.8646  0.6354  0.0000  6 Rh 2.76-2.85, 2 Mg 2.86
Rh  0.1517  0.6517  0.5000  6 Mg 2.76-2.85, 2 Rh 2.86
Rh  0.3483  0.1517  0.5000  6 Mg 2.76-2.85, 2 Rh 2.86
Rh  0.6517  0.8483  0.5000  6 Mg 2.76-2.85, 2 Rh 2.86
Rh  0.8483  0.3483  0.5000  6 Mg 2.76-2.85, 2 Rh 2.86

Output
Offset from the most stable computed form   7 meV per atom
SG   P4/mbm
DOS(E_F)   7.12 states/eV/cell

=====

# 7
Material: AcLa2Pm2Y
Method: DFT, PBE
State: optimized geometry

Lattice parameters (Å, degrees): 5.6860 10.7308 7.1720 90.00 90.00 90.00
Closest atoms and distances in Å follow each position.
Element x y z (fractional)
Ac  0.0000  0.1889  0.0000  5 Pm 3.44-3.73, 1 La 3.68, 2 Y 3.85
Ac  0.0000  0.8111  0.5000  5 Pm 3.44-3.73, 1 La 3.68, 2 Y 3.85
La  0.0000  0.4778  0.3762  5 Pm 3.53-3.84, 4 La 3.62-3.87, 1 Ac 3.68
La  0.0000  0.5222  0.8762  5 Pm 3.53-3.84, 4 La 3.62-3.87, 1 Ac 3.68
La  0.5000  0.3043  0.6346  5 Pm 3.45-3.70, 1 Y 3.62
La  0.5000  0.6957  0.1346  5 Pm 3.45-3.70, 1 Y 3.62
Pm  0.0000  0.1314  0.5130  3 Ac 3.44-3.73, 3 La 3.51-3.84, 4 Y 3.56-3.74
Pm  0.0000  0.8686  0.0130  3 Ac 3.44-3.73, 3 La 3.51-3.84, 4 Y 3.56-3.74
Pm  0.5000  0.3745  0.1302  7 La 3.45-3.73, 2 Ac 3.59
Pm  0.5000  0.6255  0.6302  7 La 3.45-3.73, 2 Ac 3.59
Y  0.5000  0.0223  0.2627  5 Pm 3.56-3.90, 2 Y 3.62, 1 La 3.62, 2 Ac 3.85
Y  0.5000  0.9777  0.7627  5 Pm 3.56-3.90, 2 Y 3.62, 1 La 3.62, 2 Ac 3.85

Output
DFT total energy   -4.91 eV per atom
SG   Pmc2_1
DOS(E_F)   19.56 states/eV/cell

=====

# 8
Material: NaZnSi2Tc
Method: DFT, PBE
State: optimized geometry

Lattice parameters (Å, degrees): 4.6632 4.6632 4.8794 90.00 90.00 90.00
Closest atoms and distances in Å follow each position.
Element x y z (fractional)
Na  0.0000  0.0000  0.0000  4 Tc 3.30, 8 Si 3.37
Zn  0.5000  0.5000  0.5000  4 Si 2.33, 2 Tc 2.44
Si  0.0000  0.5000  0.5000  2 Zn 2.33
Si  0.5000  0.0000  0.5000  2 Zn 2.33
Tc  0.5000  0.5000  0.0000  2 Zn 2.44

Output
Offset from the most stable computed form   1027 meV per atom
SG   P4/mmm
Formation energy from raw total energies   1.0730 eV per atom
DOS(E_F)   2.48 states/eV/cell